This record from the Alexandria database describes an optimized crystal structure of TbGaPd2. The functional is PBEsol.

Cell lengths 7.2619, 7.0540, 5.5275 Å; angles 90.00, 90.00, 90.00 degrees
Space group Pnma (No. 62)
Symmetry-distinct sites (fractional):
Tb1 0.0299 0.2500 0.1432 [4 per cell]
Ga1 0.1152 0.7500 0.3564 [4 per cell]
Pd1 0.1829 0.0515 0.5880 [8 per cell]

- Magnetic moment: 0.00 μB/cell
- ΔE_f: -87.6 kJ per mole of atoms
- N(E_F): 2.1 states/eV/f.u.
- Total energy: -5.97 eV per atom

---

This record from the Alexandria database describes an optimized crystal structure of Be4ZnAu. The functional is PBEsol.

Cell lengths 6.2423, 6.2423, 6.2423 Å; angles 90.00, 90.00, 90.00 degrees
Space group F-43m (No. 216)
Symmetry-distinct sites (fractional):
Be1 0.1253 0.1253 0.1253 [16 per cell]
Zn1 0.2500 0.2500 0.7500 [4 per cell]
Au1 0.0000 0.0000 0.5000 [4 per cell]

- Magnetic moment: 0.00 μB/cell
- ΔE_f: -11.9 kJ per mole of atoms
- N(E_F): 1.1 states/eV/f.u.
- Total energy: -3.71 eV per atom

---

This record from the Alexandria database describes an optimized crystal structure of AgIrRhW2. The functional is PBEsol.

Cell lengths 4.5885, 4.5885, 4.7288 Å; angles 90.00, 90.00, 90.00 degrees
Space group P4/mmm (No. 123)
Symmetry-distinct sites (fractional):
Ag1 0.0000 0.0000 0.0000 [1 per cell]
Ir1 0.5000 0.5000 0.0000 [1 per cell]
Rh1 0.5000 0.5000 0.5000 [1 per cell]
W1 0.0000 0.5000 0.5000 [2 per cell]

- Magnetic moment: 0.00 μB/cell
- ΔE_f: 201.7 kJ per mole of atoms
- N(E_F): 6.2 states/eV/f.u.
- Total energy: -7.69 eV per atom